1.
# AcTcAs2

A relaxed structure of AcTcAs2 (PBE, Alexandria).

Summary:
size of the total moment	0.00	μB per cell
energy relative to the elements	-0.654	eV/atom
symmetry	R-3m
calculated density	8.97	Mg/m³
polymorph energy (0 for the lowest one)	0.000	eV per atom

```
data_AcTcAs2
_symmetry_space_group_name_H-M 'P 1'
_symmetry_Int_Tables_number 1
_symmetry_space_group_name_Hall 'P 1'
_cell_length_a 4.377
_cell_length_b 4.377
_cell_length_c 5.873
_cell_angle_alpha 68.12
_cell_angle_beta 68.12
_cell_angle_gamma 60.00
loop_
_atom_site_label
_atom_site_type_symbol
_atom_site_fract_x
_atom_site_fract_y
_atom_site_fract_z
_atom_site_occupancy
As1 As 0.213 0.213 0.362 1
Ac1 Ac 0.000 0.000 0.000 1
As2 As 0.787 0.787 0.638 1
Tc1 Tc 0.500 0.500 0.500 1
```

***

2.
# AcTcAs

A relaxed structure of AcTcAs (PBE, Alexandria).

Summary:
size of the total moment	0.38	μB per cell
energy relative to the elements	-0.416	eV/atom
symmetry	P-6m2
calculated density	9.03	Mg/m³
polymorph energy (0 for the lowest one)	0.000	eV per atom

```
data_AcTcAs
_symmetry_space_group_name_H-M 'P 1'
_symmetry_Int_Tables_number 1
_symmetry_space_group_name_Hall 'P 1'
_cell_length_a 4.579
_cell_length_b 4.307
_cell_length_c 4.307
_cell_angle_alpha 120.00
_cell_angle_beta 90.00
_cell_angle_gamma 90.00
loop_
_atom_site_label
_atom_site_type_symbol
_atom_site_fract_x
_atom_site_fract_y
_atom_site_fract_z
_atom_site_occupancy
Ac1 Ac 0.667 0.667 0.333 1
Tc1 Tc 0.167 0.333 0.667 1
As1 As 0.167 0.000 0.000 1
```